# 1
## YTa2Zn (PBE-GGA)

Data for YTa2Zn after structural relaxation.

Structure (POSCAR):
```
YTa2Zn
1.0
1.525 0.880 9.973
-1.525 0.880 9.973
0.000 -1.761 9.973
Y Ta Zn
1 2 1
Direct
0.000 0.000 0.000
0.243 0.243 0.243
0.757 0.757 0.757
0.500 0.500 0.500
```

Values from the calculation:
Formation enthalpy at 0 K, eV per atom: 0.4137



# 2
## Nd3HoCd (PBE-GGA)

Data for Nd3HoCd after structural relaxation.

Structure (POSCAR):
```
Nd3HoCd
1.0
3.838 0.000 0.000
0.000 10.645 0.000
0.000 0.000 8.200
Nd Ho Cd
6 2 2
Direct
0.250 0.001 0.244
0.250 0.499 0.244
0.250 0.750 0.550
0.750 0.250 0.450
0.750 0.501 0.756
0.750 0.999 0.756
0.250 0.750 0.941
0.750 0.250 0.059
0.250 0.250 0.766
0.750 0.750 0.234
```

Values from the calculation:
Energy above the most stable polymorph in this dataset, meV per atom: 109
Formation enthalpy at 0 K, eV per atom: 0.0006



# 3
## MnGeRhW (PBE-GGA)

Data for MnGeRhW after structural relaxation.

Structure (POSCAR):
```
MnGeRhW
1.0
0.000 3.051 3.051
3.051 0.000 3.051
3.051 3.051 0.000
Mn Ge Rh W
1 1 1 1
Direct
0.000 0.000 0.000
0.500 0.500 0.500
0.250 0.250 0.250
0.750 0.750 0.750
```

Values from the calculation:
Formation enthalpy at 0 K, eV per atom: -0.0702



# 4
## PmNd2Zr (PBE-GGA)

Data for PmNd2Zr after structural relaxation.

Structure (POSCAR):
```
PmNd2Zr
1.0
4.100 0.000 0.000
0.000 4.100 0.000
0.000 0.000 7.429
Pm Nd Zr
1 2 1
Direct
0.000 0.000 0.000
0.500 0.500 0.279
0.500 0.500 0.721
0.000 0.000 0.500
```

Values from the calculation:
Energy above the most stable polymorph in this dataset, meV per atom: 55
Formation enthalpy at 0 K, eV per atom: 0.1805



# 5
## RbHN3 (PBE-GGA)

Data for RbHN3 after structural relaxation.

Structure (POSCAR):
```
RbHN3
1.0
5.453 0.000 0.000
0.000 5.453 0.000
0.000 0.000 5.453
Rb H N
1 1 3
Direct
0.000 0.000 0.000
0.500 0.500 0.500
0.000 0.000 0.500
0.000 0.500 0.000
0.500 0.000 0.000
```

Values from the calculation:
Energy, eV per atom: -2.73



# 6
## CdTc2HI (PBE-GGA)

Data for CdTc2HI after structural relaxation.

Structure (POSCAR):
```
CdTc2HI
1.0
4.954 0.000 0.000
0.000 4.954 0.000
0.000 0.000 6.186
Cd Tc H I
1 2 1 1
Direct
0.000 0.000 0.000
0.000 0.500 0.500
0.500 0.000 0.500
0.500 0.500 0.000
0.000 0.000 0.500
```

Values from the calculation:
Energy, eV per atom: -3.09



# 7
## Y3ZrHg12 (PBE-GGA)

Data for Y3ZrHg12 after structural relaxation.

Structure (POSCAR):
```
Y3ZrHg12
1.0
4.502 0.000 0.000
0.000 4.502 0.000
0.000 0.000 18.875
Y Zr Hg
3 1 12
Direct
0.000 0.000 0.000
0.000 0.000 0.256
0.000 0.000 0.744
0.000 0.000 0.500
0.000 0.500 0.128
0.000 0.500 0.382
0.000 0.500 0.618
0.000 0.500 0.872
0.500 0.000 0.128
0.500 0.000 0.382
0.500 0.000 0.618
0.500 0.000 0.872
0.500 0.500 0.000
0.500 0.500 0.257
0.500 0.500 0.500
0.500 0.500 0.743
```

Values from the calculation:
Formation enthalpy at 0 K, eV per atom: -0.2568



# 8
## Li5YTl6 (PBE-GGA)

Data for Li5YTl6 after structural relaxation.

Structure (POSCAR):
```
Li5YTl6
1.0
4.889 0.000 0.000
0.000 7.383 0.000
-2.435 0.000 7.427
Li Y Tl
5 1 6
Direct
0.000 0.000 0.000
0.328 0.000 0.656
0.332 0.500 0.664
0.668 0.500 0.336
0.672 0.000 0.344
0.000 0.500 0.000
0.172 0.244 0.343
0.172 0.756 0.343
0.500 0.222 0.000
0.500 0.778 0.000
0.828 0.244 0.657
0.828 0.756 0.657
```

Values from the calculation:
Formation enthalpy at 0 K, eV per atom: -0.2492



# 9
## ScTi2Sn (PBE-GGA)

Data for ScTi2Sn after structural relaxation.

Structure (POSCAR):
```
ScTi2Sn
1.0
-3.859 3.859 2.841
3.859 -3.859 2.841
3.859 3.859 -2.841
Sc Ti Sn
2 4 2
Direct
0.000 0.000 0.000
0.750 0.250 0.500
0.137 0.125 0.512
0.375 0.863 0.988
0.613 0.625 0.488
0.875 0.387 0.012
0.250 0.750 0.500
0.500 0.500 0.000
```

Values from the calculation:
Formation enthalpy at 0 K, eV per atom: 0.2474



# 10
## CaMg2Si (PBE-GGA)

Data for CaMg2Si after structural relaxation.

Structure (POSCAR):
```
CaMg2Si
1.0
3.488 0.000 0.000
0.000 4.428 0.000
-1.709 0.000 6.088
Ca Mg Si
1 2 1
Direct
0.000 0.000 0.000
0.272 0.000 0.542
0.675 0.500 0.347
0.405 0.500 0.804
```

Values from the calculation:
ΔE_f (raw), meV per atom: -104



# 11
## Be2SF (PBE-GGA)

Data for Be2SF after structural relaxation.

Structure (POSCAR):
```
Be2SF
1.0
0.000 2.717 2.717
2.717 0.000 2.717
2.717 2.717 0.000
Be S F
2 1 1
Direct
0.250 0.250 0.250
0.750 0.750 0.750
0.000 0.000 0.000
0.500 0.500 0.500
```

Values from the calculation:
ΔE_f (raw), meV per atom: -350
Energy above the most stable polymorph in this dataset, meV per atom: 595



# 12
## GaGePt6 (PBE-GGA)

Data for GaGePt6 after structural relaxation.

Structure (POSCAR):
```
GaGePt6
1.0
3.926 -4.438 0.000
3.926 4.438 0.000
-0.033 0.000 4.028
Ga Ge Pt
1 1 6
Direct
0.000 0.000 0.000
0.500 0.500 0.500
0.143 0.605 0.230
0.189 0.189 0.501
0.395 0.857 0.770
0.605 0.143 0.230
0.811 0.811 0.499
0.857 0.395 0.770
```

Values from the calculation:
Energy above the most stable polymorph in this dataset, meV per atom: 269
Formation enthalpy at 0 K, eV per atom: -0.1361



# 13
## Br2OF2 (PBE-GGA)

Data for Br2OF2 after structural relaxation.

Structure (POSCAR):
```
Br2OF2
1.0
5.829 0.000 0.000
-0.410 6.723 0.000
-2.114 -3.445 6.283
Br O F
4 2 4
Direct
0.000 0.000 0.000
0.093 0.303 0.586
0.478 0.952 0.939
0.595 0.178 0.439
0.145 0.118 0.313
0.567 0.918 0.198
0.088 0.481 0.862
0.383 0.970 0.681
0.586 0.445 0.697
0.884 0.900 0.706
```

Values from the calculation:
ΔE_f (raw), meV per atom: -264



# 14
## ZrAlRe (PBE-GGA)

Data for ZrAlRe after structural relaxation.

Structure (POSCAR):
```
ZrAlRe
1.0
4.598 0.000 0.000
-2.299 3.982 0.000
0.000 0.000 2.841
Zr Al Re
1 1 1
Direct
0.000 0.000 0.000
0.667 0.333 0.446
0.333 0.667 0.677
```

Values from the calculation:
Energy above the most stable polymorph in this dataset, meV per atom: 273
Formation enthalpy at 0 K, eV per atom: -0.1922



# 15
## Tm7Ga2Pb2 (PBE-GGA)

Data for Tm7Ga2Pb2 after structural relaxation.

Structure (POSCAR):
```
Tm7Ga2Pb2
1.0
4.155 -5.448 0.000
4.155 5.448 0.000
0.000 0.000 7.093
Tm Ga Pb
7 2 2
Direct
0.000 0.000 0.000
0.000 0.500 0.267
0.000 0.500 0.733
0.500 0.000 0.267
0.500 0.000 0.733
0.500 0.500 0.242
0.500 0.500 0.758
0.283 0.717 0.000
0.717 0.283 0.000
0.186 0.186 0.500
0.814 0.814 0.500
```

Values from the calculation:
Formation enthalpy at 0 K, eV per atom: -0.1622



# 16
## Ca2Mg2I7 (PBE-GGA)

Data for Ca2Mg2I7 after structural relaxation.

Structure (POSCAR):
```
Ca2Mg2I7
1.0
4.618 -6.798 0.000
4.618 6.798 0.000
-0.984 0.000 8.096
Ca Mg I
2 2 7
Direct
0.183 0.817 0.000
0.817 0.183 0.000
0.228 0.228 0.616
0.772 0.772 0.384
0.065 0.453 0.775
0.074 0.074 0.252
0.453 0.065 0.775
0.500 0.500 0.500
0.547 0.935 0.225
0.926 0.926 0.748
0.935 0.547 0.225
```

Values from the calculation:
ΔE_f (raw), meV per atom: -1112



# 17
## Ce3Ga3Ge (PBE-GGA)

Data for Ce3Ga3Ge after structural relaxation.

Structure (POSCAR):
```
Ce3Ga3Ge
1.0
-2.076 2.155 9.376
2.076 -2.155 9.376
2.076 2.155 -9.376
Ce Ga Ge
3 3 1
Direct
0.000 0.000 0.000
0.185 0.685 0.500
0.374 0.374 0.000
0.543 0.543 0.000
0.754 0.254 0.500
0.829 0.829 0.000
0.622 0.122 0.500
```

Values from the calculation:
Formation enthalpy at 0 K, eV per atom: -0.5662



# 18
## Sc2TaCd (PBE-GGA)

Data for Sc2TaCd after structural relaxation.

Structure (POSCAR):
```
Sc2TaCd
1.0
3.119 0.000 0.000
0.000 3.119 0.000
0.000 0.000 8.702
Sc Ta Cd
2 1 1
Direct
0.000 0.000 0.240
0.000 0.000 0.760
0.500 0.500 0.000
0.500 0.500 0.500
```

Values from the calculation:
Formation enthalpy at 0 K, eV per atom: -0.0600



# 19
## Ac2MgInSe5 (PBE-GGA)

Data for Ac2MgInSe5 after structural relaxation.

Structure (POSCAR):
```
Ac2MgInSe5
1.0
2.174 -8.927 0.000
2.174 8.927 0.000
0.000 0.000 12.863
Ac Mg In Se
4 2 2 10
Direct
0.115 0.885 0.500
0.139 0.861 0.118
0.861 0.139 0.618
0.885 0.115 0.000
0.207 0.793 0.828
0.793 0.207 0.328
0.459 0.541 0.274
0.541 0.459 0.774
0.054 0.946 0.892
0.286 0.714 0.470
0.313 0.687 0.175
0.358 0.642 0.812
0.492 0.508 0.576
0.508 0.492 0.076
0.642 0.358 0.312
0.687 0.313 0.675
0.714 0.286 0.970
0.946 0.054 0.392
```

Values from the calculation:
ΔE_f (raw), meV per atom: -1417



# 20
## AsC3 (PBE-GGA)

Data for AsC3 after structural relaxation.

Structure (POSCAR):
```
AsC3
1.0
2.536 -5.042 0.000
2.536 5.042 0.000
0.000 0.000 5.939
As C
2 6
Direct
0.012 0.988 0.750
0.988 0.012 0.250
0.277 0.453 0.250
0.453 0.277 0.750
0.463 0.537 0.750
0.537 0.463 0.250
0.547 0.723 0.250
0.723 0.547 0.750
```

Values from the calculation:
Energy above the most stable polymorph in this dataset, meV per atom: 1087
Formation enthalpy at 0 K, eV per atom: 1.8493



# 21
## NaCoRu (PBE-GGA)

Data for NaCoRu after structural relaxation.

Structure (POSCAR):
```
NaCoRu
1.0
-1.361 1.361 6.481
1.361 -1.361 6.481
1.361 1.361 -6.481
Na Co Ru
1 1 1
Direct
0.000 0.000 0.000
0.688 0.688 0.000
0.302 0.302 0.000
```

Values from the calculation:
Energy above the most stable polymorph in this dataset, meV per atom: 149
Formation enthalpy at 0 K, eV per atom: 0.5451



# 22
## Nd5Tl2Ge (PBE-GGA)

Data for Nd5Tl2Ge after structural relaxation.

Structure (POSCAR):
```
Nd5Tl2Ge
1.0
7.084 0.000 0.000
0.000 13.232 0.000
0.000 0.000 5.187
Nd Tl Ge
10 4 2
Direct
0.000 0.000 0.000
0.134 0.284 0.000
0.174 0.585 0.500
0.326 0.085 0.500
0.366 0.784 0.000
0.500 0.500 0.000
0.634 0.216 0.000
0.674 0.915 0.500
0.826 0.415 0.500
0.866 0.716 0.000
0.110 0.841 0.500
0.390 0.341 0.500
0.610 0.659 0.500
0.890 0.159 0.500
0.000 0.500 0.000
0.500 0.000 0.000
```

Values from the calculation:
Formation enthalpy at 0 K, eV per atom: -0.4255



# 23
## Sr2TaSb (PBE-GGA)

Data for Sr2TaSb after structural relaxation.

Structure (POSCAR):
```
Sr2TaSb
1.0
3.787 0.000 0.000
0.000 3.787 0.000
0.000 0.000 9.184
Sr Ta Sb
2 1 1
Direct
0.000 0.000 0.000
0.500 0.500 0.387
0.000 0.000 0.638
0.500 0.500 0.749
```

Values from the calculation:
ΔE_f (raw), meV per atom: 95



# 24
## CrFeCo2 (PBE-GGA)

Data for CrFeCo2 after structural relaxation.

Structure (POSCAR):
```
CrFeCo2
1.0
-1.427 1.986 3.949
1.427 -1.986 3.949
1.427 1.986 -3.949
Cr Fe Co
1 1 2
Direct
0.000 0.000 0.000
0.760 0.260 0.500
0.251 0.751 0.500
0.511 0.511 0.000
```

Values from the calculation:
Formation enthalpy at 0 K, eV per atom: 0.1495



# 25
## Y2MgTe (PBE-GGA)

Data for Y2MgTe after structural relaxation.

Structure (POSCAR):
```
Y2MgTe
1.0
-1.965 2.524 5.556
1.965 -2.524 5.556
1.965 2.524 -5.556
Y Mg Te
2 1 1
Direct
0.000 0.000 0.000
0.734 0.234 0.500
0.273 0.773 0.500
0.499 0.499 0.000
```

Values from the calculation:
ΔE_f (raw), meV per atom: -533
Energy above the most stable polymorph in this dataset, meV per atom: 89



Fermi-level density of states
In order: 4.22; 15.29; 1.63; 6.76; 2.29; 4.14; 12.37; 4.18; 7.63; 1.51; 1.02; 5.02; 1.68; 1.16; 9.98; 4.49; 15.29; 4.10; 5.00; 0.95; 3.11; 12.89; 3.44; 5.29; 3.22
Unit: states/eV/cell